## i
## LiInPtBr (GGA-PBE)

Data for a relaxed LiInPtBr crystal.

**Magnetic moment**: 0.00 μB per formula unit

a b c (Å): 3.6010 3.7957 6.8009
angles (deg): 90.00 105.23 90.00
Fractional coordinates of all 4 atoms:
Li (0.8332, 0.0000, 0.4839)
In (0.0541, 0.5000, 0.9256)
Pt (0.5111, 0.0000, 0.8391)
Br (0.2753, 0.5000, 0.3679)

## ii
## LiInPtBr (GGA-PBE)

Data for a relaxed LiInPtBr crystal.

**Magnetic moment**: 0.00 μB per formula unit

a b c (Å): 4.2534 4.3063 6.8183
angles (deg): 91.19 108.04 118.25
Fractional coordinates of all 4 atoms:
Li (0.2010, 0.3874, 0.4992)
In (0.7508, 0.1477, 0.8201)
Pt (0.4930, 0.5310, 0.9384)
Br (0.7728, 0.6798, 0.3587)

Most stable structure: i

## i
## LiInPtBr (GGA-PBE)

Data for a relaxed LiInPtBr crystal.

**Magnetic moment**: 0.00 μB per formula unit

a b c (Å): 3.5612 3.5621 7.2746
angles (deg): 75.94 76.33 89.99
Fractional coordinates of all 4 atoms:
Li (0.0020, 0.8678, 0.5047)
In (0.7688, 0.6435, 0.9430)
Pt (0.3355, 0.2125, 0.8039)
Br (0.5675, 0.4365, 0.3649)

## ii
## LiInPtBr (GGA-PBE)

Data for a relaxed LiInPtBr crystal.

**Magnetic moment**: 0.00 μB per formula unit

a b c (Å): 4.1314 4.1314 20.3437
angles (deg): 90.00 90.00 120.00
Fractional coordinates of all 12 atoms:
Li (0.0000, 0.0000, 0.4508)
Li (0.3333, 0.6667, 0.1175)
Li (0.6667, 0.3333, 0.7842)
In (0.0000, 0.0000, 0.9868)
In (0.3333, 0.6667, 0.6534)
In (0.6667, 0.3333, 0.3201)
Pt (0.0000, 0.0000, 0.7076)
Pt (0.3333, 0.6667, 0.3743)
Pt (0.6667, 0.3333, 0.0409)
Br (0.0000, 0.0000, 0.8395)
Br (0.3333, 0.6667, 0.5062)
Br (0.6667, 0.3333, 0.1729)

## iii
## LiInPtBr (GGA-PBE)

Data for a relaxed LiInPtBr crystal.

**Magnetic moment**: 0.00 μB per formula unit

a b c (Å): 3.7259 3.7938 6.4823
angles (deg): 90.00 89.94 90.00
Fractional coordinates of all 4 atoms:
Li (0.7088, 0.5000, 0.5349)
In (0.2111, 0.0000, 0.1170)
Pt (0.7110, 0.5000, 0.1152)
Br (0.2088, 0.0000, 0.6163)

Most stable structure: iii

## i
## LiInSe2Br (GGA-PBE)

Data for a relaxed LiInSe2Br crystal.

**Magnetic moment**: 0.00 μB per formula unit

a b c (Å): 4.5425 4.5425 6.6634
angles (deg): 90.00 90.00 90.00
Fractional coordinates of all 5 atoms:
Li (0.0000, 0.0000, 0.0000)
Se (0.0000, 0.5000, 0.0000)
Se (0.5000, 0.0000, 0.0000)
Br (0.0000, 0.0000, 0.5000)
In (0.5000, 0.5000, 0.5000)

## ii
## LiInSe2Br (GGA-PBE)

Data for a relaxed LiInSe2Br crystal.

**Magnetic moment**: 0.35 μB per formula unit

a b c (Å): 5.2614 5.2614 5.7154
angles (deg): 90.00 90.00 90.00
Last column: magnetic moment on the atom in μB.
Fractional coordinates of all 5 atoms:
Li (0.5000, 0.5000, 0.5000)  0.00
Se (0.0000, 0.5000, 0.0000)  0.11
Se (0.5000, 0.0000, 0.0000)  0.11
Br (0.0000, 0.0000, 0.5000)  0.01
In (0.0000, 0.0000, 0.0000)  0.00

Most stable structure: ii

## i
## Mg2InBr (GGA-PBE)

Data for a relaxed Mg2InBr crystal.

**Magnetic moment**: 0.00 μB per formula unit

a b c (Å): 3.5347 3.5347 7.9425
angles (deg): 90.00 90.00 95.08
Fractional coordinates of all 4 atoms:
Br (0.5000, 0.5000, 0.2500)
In (0.5000, 0.5000, 0.7500)
Mg (0.0000, 0.0000, 0.9844)
Mg (0.0000, 0.0000, 0.5156)

## ii
## Mg2InBr (GGA-PBE)

Data for a relaxed Mg2InBr crystal.

**Magnetic moment**: 0.00 μB per formula unit

a b c (Å): 5.4896 5.4896 3.4096
angles (deg): 81.80 81.80 93.67
Fractional coordinates of all 4 atoms:
Br (0.5000, 0.0000, 0.5000)
In (0.0000, 0.5000, 0.5000)
Mg (0.0000, 0.0000, 0.0000)
Mg (0.5000, 0.5000, 0.0000)

Most stable structure: i

## i
## Mg2InBr (GGA-PBE)

Data for a relaxed Mg2InBr crystal.

**Magnetic moment**: 0.00 μB per formula unit

a b c (Å): 3.3686 3.3686 10.4116
angles (deg): 90.00 90.00 106.35
Fractional coordinates of all 4 atoms:
Br (0.0000, 0.0000, 0.4173)
In (0.5000, 0.5000, 0.7951)
Mg (0.0000, 0.0000, 0.0299)
Mg (0.5000, 0.5000, 0.2577)

## ii
## Mg2InBr (GGA-PBE)

Data for a relaxed Mg2InBr crystal.

**Magnetic moment**: 0.00 μB per formula unit

a b c (Å): 7.3082 7.3082 7.0203
angles (deg): 58.63 58.63 90.00
Fractional coordinates of all 8 atoms:
Mg (0.6175, 0.1250, 0.2500)
Mg (0.1325, 0.6250, 0.2500)
Mg (0.3750, 0.3825, 0.7500)
Mg (0.8750, 0.8675, 0.7500)
Br (0.5000, 0.5000, 0.0000)
Br (0.2500, 0.7500, 0.5000)
In (0.0000, 0.0000, 0.0000)
In (0.7500, 0.2500, 0.5000)

## iii
## Mg2InBr (GGA-PBE)

Data for a relaxed Mg2InBr crystal.

**Magnetic moment**: 0.00 μB per formula unit

a b c (Å): 6.3174 6.3174 6.3174
angles (deg): 139.71 139.71 58.29
Fractional coordinates of all 4 atoms:
Br (0.5000, 0.5000, 0.0000)
In (0.7500, 0.2500, 0.5000)
Mg (0.0000, 0.0000, 0.0000)
Mg (0.2500, 0.7500, 0.5000)

Most stable structure: i

## i
## MgInBr2 (GGA-PBE)

Data for a relaxed MgInBr2 crystal.

**Magnetic moment**: 0.00 μB per formula unit

a b c (Å): 7.3035 7.3035 7.3035
angles (deg): 145.20 145.20 50.03
Fractional coordinates of all 4 atoms:
Br (0.0000, 0.0000, 0.0000)
Br (0.2500, 0.7500, 0.5000)
In (0.5000, 0.5000, 0.0000)
Mg (0.7500, 0.2500, 0.5000)

## ii
## MgInBr2 (GGA-PBE)

Data for a relaxed MgInBr2 crystal.

**Magnetic moment**: 0.00 μB per formula unit

a b c (Å): 3.5292 3.8115 11.3903
angles (deg): 66.40 90.00 90.00
Fractional coordinates of all 4 atoms:
Br (0.0000, 0.8137, 0.9053)
Br (0.0000, 0.6863, 0.5947)
In (0.5000, 0.2500, 0.2500)
Mg (0.5000, 0.7500, 0.7500)

## iii
## MgInBr2 (GGA-PBE)

Data for a relaxed MgInBr2 crystal.

**Magnetic moment**: 0.00 μB per formula unit

a b c (Å): 6.4784 6.4784 6.4869
angles (deg): 61.27 61.27 32.49
Fractional coordinates of all 4 atoms:
Br (0.9217, 0.9217, 0.0746)
Br (0.5783, 0.5783, 0.4254)
In (0.7500, 0.7500, 0.7500)
Mg (0.2500, 0.2500, 0.2500)

Most stable structure: iii

## i
## MgInBr2 (GGA-PBE)

Data for a relaxed MgInBr2 crystal.

**Magnetic moment**: 0.00 μB per formula unit

a b c (Å): 8.3665 8.3665 6.9514
angles (deg): 53.00 53.00 90.00
Fractional coordinates of all 8 atoms:
Mg (0.5000, 0.5000, 0.0000)
Mg (0.2500, 0.7500, 0.5000)
Br (0.5305, 0.1250, 0.2500)
Br (0.2195, 0.6250, 0.2500)
Br (0.3750, 0.4695, 0.7500)
Br (0.8750, 0.7805, 0.7500)
In (0.0000, 0.0000, 0.0000)
In (0.7500, 0.2500, 0.5000)

## ii
## MgInBr2 (GGA-PBE)

Data for a relaxed MgInBr2 crystal.

**Magnetic moment**: 0.00 μB per formula unit

a b c (Å): 3.4346 3.4341 10.1519
angles (deg): 90.00 90.00 90.00
Fractional coordinates of all 4 atoms:
Br (0.0000, 0.0000, 0.9114)
Br (0.0000, 0.0000, 0.5886)
In (0.5000, 0.5000, 0.2500)
Mg (0.5000, 0.5000, 0.7500)

Most stable structure: i

## i
## MgInBr2 (GGA-PBE)

Data for a relaxed MgInBr2 crystal.

**Magnetic moment**: 0.00 μB per formula unit

a b c (Å): 5.8990 5.8990 3.7905
angles (deg): 75.88 75.88 92.36
Fractional coordinates of all 4 atoms:
Br (0.0000, 0.0000, 0.0000)
Br (0.5000, 0.5000, 0.0000)
In (0.5000, 0.0000, 0.5000)
Mg (0.0000, 0.5000, 0.5000)

## ii
## MgInBr2 (GGA-PBE)

Data for a relaxed MgInBr2 crystal.

**Magnetic moment**: 0.00 μB per formula unit

a b c (Å): 7.8674 7.8674 7.8674
angles (deg): 153.70 145.13 44.20
Fractional coordinates of all 4 atoms:
Br (0.0853, 0.0853, 0.0000)
Br (0.7739, 0.2739, 0.5000)
In (0.4225, 0.4225, 0.0000)
Mg (0.2183, 0.7183, 0.5000)

Most stable structure: ii

## i
## MgInBr2 (GGA-PBE)

Data for a relaxed MgInBr2 crystal.

**Magnetic moment**: 0.00 μB per formula unit

a b c (Å): 6.8696 6.8696 6.0364
angles (deg): 69.81 69.81 30.46
Fractional coordinates of all 4 atoms:
Br (0.9097, 0.9097, 0.1328)
Br (0.7160, 0.7160, 0.8345)
In (0.5895, 0.5895, 0.4706)
Mg (0.2849, 0.2849, 0.0621)

## ii
## MgInBr2 (GGA-PBE)

Data for a relaxed MgInBr2 crystal.

**Magnetic moment**: 0.00 μB per formula unit

a b c (Å): 11.7701 11.7701 11.7701
angles (deg): 18.38 18.38 18.38
Fractional coordinates of all 4 atoms:
Br (0.0385, 0.0385, 0.0385)
Br (0.4615, 0.4615, 0.4615)
In (0.2500, 0.2500, 0.2500)
Mg (0.7500, 0.7500, 0.7500)

Most stable structure: ii

## i
## MgInBr2 (GGA-PBE)

Data for a relaxed MgInBr2 crystal.

**Magnetic moment**: 0.00 μB per formula unit

a b c (Å): 3.7717 7.0101 7.0106
angles (deg): 42.81 90.00 90.00
Fractional coordinates of all 4 atoms:
Br (0.0000, 0.9201, 0.9202)
Br (0.5000, 0.2254, 0.2253)
In (0.0000, 0.5742, 0.5742)
Mg (0.5000, 0.7804, 0.7803)

## ii
## MgInBr2 (GGA-PBE)

Data for a relaxed MgInBr2 crystal.

**Magnetic moment**: 0.00 μB per formula unit

a b c (Å): 5.5170 5.5170 3.7790
angles (deg): 90.00 90.00 90.00
Fractional coordinates of all 4 atoms:
Br (0.0000, 0.0000, 0.0000)
Br (0.5000, 0.5000, 0.0000)
In (0.5000, 0.0000, 0.5000)
Mg (0.0000, 0.5000, 0.5000)

Most stable structure: i

## i
## MgInBr2 (GGA-PBE)

Data for a relaxed MgInBr2 crystal.

**Magnetic moment**: 0.00 μB per formula unit

a b c (Å): 3.8061 3.8061 9.7470
angles (deg): 90.00 90.00 118.65
Fractional coordinates of all 4 atoms:
Br (0.0000, 0.0000, 0.9216)
Br (0.5000, 0.5000, 0.3103)
In (0.0000, 0.0000, 0.5167)
Mg (0.5000, 0.5000, 0.7514)

## ii
## MgInBr2 (GGA-PBE)

Data for a relaxed MgInBr2 crystal.

**Magnetic moment**: 0.00 μB per formula unit

a b c (Å): 3.5420 3.5420 8.9213
angles (deg): 90.00 90.00 90.00
Fractional coordinates of all 4 atoms:
Br (0.0000, 0.0000, 0.9210)
Br (0.5000, 0.5000, 0.3043)
In (0.0000, 0.0000, 0.5095)
Mg (0.5000, 0.5000, 0.7652)

Most stable structure: i

## i
## MgInBr2 (GGA-PBE)

Data for a relaxed MgInBr2 crystal.

**Magnetic moment**: 0.00 μB per formula unit

a b c (Å): 4.5665 7.8858 6.4127
angles (deg): 35.18 90.00 90.00
Fractional coordinates of all 4 atoms:
Br (0.0000, 0.0000, 0.0000)
Br (0.5000, 0.5000, 0.0000)
In (0.5000, 0.5000, 0.5000)
Mg (0.0000, 0.0000, 0.5000)

## ii
## MgInBr2 (GGA-PBE)

Data for a relaxed MgInBr2 crystal.

**Magnetic moment**: 0.00 μB per formula unit

a b c (Å): 5.4459 5.4459 5.4459
angles (deg): 60.00 60.00 60.00
Fractional coordinates of all 4 atoms:
Mg (0.0000, 0.0000, 0.0000)
Br (0.2500, 0.2500, 0.2500)
Br (0.7500, 0.7500, 0.7500)
In (0.5000, 0.5000, 0.5000)

## iii
## MgInBr2 (GGA-PBE)

Data for a relaxed MgInBr2 crystal.

**Magnetic moment**: 0.90 μB per formula unit

a b c (Å): 5.4527 5.4527 5.4527
angles (deg): 60.00 60.00 60.00
Last column: magnetic moment on the atom in μB.
Fractional coordinates of all 4 atoms:
Br (0.0000, 0.0000, 0.0000)  0.17
Br (0.2500, 0.2500, 0.2500)  0.06
In (0.5000, 0.5000, 0.5000)  0.05
Mg (0.7500, 0.7500, 0.7500)  0.12

Most stable structure: i